#i
First-principles (meta-GGA SCAN) data for a PBEsol-optimized structure of NiIr2Cl, as listed in the Alexandria database.

a b c (Å): 2.6807 2.7505 8.6123
angles (deg): 90.00 90.00 119.16
Fractional positions:
Ni (0.5000, 0.0000, 0.5000)
Ir (0.0000, 0.0000, 0.7426)
Ir (0.0000, 0.0000, 0.2574)
Cl (0.5000, 0.0000, 0.0000)

Volume (Å³/atom): 13.86
Symmetry: Cmmm (65)


#ii
First-principles (meta-GGA SCAN) data for a PBEsol-optimized structure of NiIr2Cl, as listed in the Alexandria database.

a b c (Å): 2.7449 4.4158 6.2244
angles (deg): 86.90 77.26 71.89
Fractional positions:
Ni (0.4287, 0.7082, 0.4345)
Ir (0.0544, 0.7979, 0.0933)
Ir (0.2511, 0.2582, 0.2397)
Cl (0.7659, 0.7357, 0.7325)

Volume (Å³/atom): 17.48
Symmetry: Cm (8)


#iii
First-principles (meta-GGA SCAN) data for a PBEsol-optimized structure of NiIr2Cl, as listed in the Alexandria database.

a b c (Å): 2.7846 2.7846 8.2725
angles (deg): 80.31 80.31 60.00
Fractional positions:
Ni (0.5000, 0.5000, 0.5000)
Ir (0.2458, 0.2458, 0.2625)
Ir (0.7542, 0.7542, 0.7375)
Cl (0.0000, 0.0000, 0.0000)

Volume (Å³/atom): 13.62
Symmetry: R-3m (166)


We find #ii to be the most stable, with the next structure 0.120 eV/atom higher.


#i
First-principles (meta-GGA SCAN) data for a PBEsol-optimized structure of Ir2OsCl, as listed in the Alexandria database.

a b c (Å): 2.7201 3.8975 5.9151
angles (deg): 90.00 103.29 90.00
Fractional positions:
Ir (0.0722, 0.0000, 0.1444)
Ir (0.2100, 0.5000, 0.4199)
Os (0.8076, 0.0000, 0.6153)
Cl (0.9449, 0.5000, 0.8898)

Volume (Å³/atom): 15.26
Symmetry: Amm2 (38)


#ii
First-principles (meta-GGA SCAN) data for a PBEsol-optimized structure of Ir2OsCl, as listed in the Alexandria database.

a b c (Å): 2.6965 2.7743 9.0219
angles (deg): 90.00 90.00 119.08
Fractional positions:
Ir (0.0000, 0.0000, 0.7488)
Ir (0.0000, 0.0000, 0.2512)
Os (0.5000, 0.0000, 0.5000)
Cl (0.5000, 0.0000, 0.0000)

Volume (Å³/atom): 14.75
Symmetry: Cmmm (65)


We find #ii to be the most stable, with the next structure 0.092 eV/atom higher.